# 1
{"formula": "HfInTeI2", "functional": "meta-GGA SCAN", "state": "PBEsol geometry", "e_form_raw_kj_per_mol_fu": -159, "final_energy_ev_per_atom": -41.688, "m_tot_mub_per_fu": 0.0, "lattice": [[5.607, 0.000, 0.000], [0.000, 5.607, 0.000], [0.000, 0.000, 5.549]], "species": ["Hf", "In", "Te", "I", "I"], "fractional_positions": [[0.000, 0.000, 0.000], [0.500, 0.500, 0.500], [0.000, 0.000, 0.500], [0.000, 0.500, 0.000], [0.500, 0.000, 0.000]]}

---

# 2
{"formula": "Li2Mg2Si4O11", "functional": "meta-GGA SCAN", "state": "PBEsol geometry", "e_form_raw_kj_per_mol_fu": -5454, "final_energy_ev_per_atom": -9.466, "m_tot_mub_per_fu": 0.1, "lattice": [[6.886, 0.000, 0.000], [-1.884, 7.151, 0.000], [-1.663, -1.889, 8.294]], "species": ["Li", "Li", "Li", "Li", "Mg", "Mg", "Mg", "Mg", "Si", "Si", "Si", "Si", "Si", "Si", "Si", "Si", "O", "O", "O", "O", "O", "O", "O", "O", "O", "O", "O", "O", "O", "O", "O", "O", "O", "O", "O", "O", "O", "O"], "fractional_positions": [[0.109, 0.293, 0.195], [0.361, 0.747, 0.846], [0.639, 0.253, 0.154], [0.891, 0.707, 0.805], [0.129, 0.883, 0.602], [0.382, 0.120, 0.391], [0.618, 0.880, 0.609], [0.871, 0.117, 0.398], [0.020, 0.724, 0.225], [0.260, 0.106, 0.969], [0.268, 0.476, 0.592], [0.459, 0.724, 0.233], [0.541, 0.276, 0.767], [0.732, 0.524, 0.408], [0.740, 0.894, 0.031], [0.980, 0.276, 0.775], [0.082, 0.912, 0.370], [0.100, 0.239, 0.944], [0.120, 0.463, 0.725], [0.175, 0.304, 0.433], [0.176, 0.902, 0.842], [0.208, 0.649, 0.181], [0.316, 0.697, 0.580], [0.319, 0.114, 0.158], [0.435, 0.084, 0.626], [0.476, 0.241, 0.935], [0.483, 0.456, 0.704], [0.517, 0.544, 0.296], [0.524, 0.759, 0.065], [0.565, 0.916, 0.374], [0.681, 0.886, 0.842], [0.684, 0.303, 0.420], [0.792, 0.351, 0.819], [0.824, 0.098, 0.158], [0.825, 0.696, 0.567], [0.880, 0.537, 0.275], [0.900, 0.761, 0.056], [0.918, 0.088, 0.630]]}

---

# 3
{"formula": "Dy2Ga8Co", "functional": "meta-GGA SCAN", "state": "PBEsol geometry", "formation_enthalpy_0k_mev_per_atom": -542.6, "final_energy_ev_per_atom": -22.694, "m_tot_mub_per_fu": 0.0, "lattice": [[4.158, 0.000, 0.000], [0.000, 4.158, 0.000], [0.000, 0.000, 10.939]], "species": ["Dy", "Dy", "Ga", "Ga", "Ga", "Ga", "Ga", "Ga", "Ga", "Ga", "Co"], "fractional_positions": [[0.000, 0.000, 0.194], [0.000, 0.000, 0.806], [0.000, 0.500, 0.000], [0.000, 0.500, 0.383], [0.000, 0.500, 0.617], [0.500, 0.000, 0.000], [0.500, 0.000, 0.383], [0.500, 0.000, 0.617], [0.500, 0.500, 0.195], [0.500, 0.500, 0.805], [0.000, 0.000, 0.500]]}

---

# 4
{"formula": "BeSb2Te", "functional": "meta-GGA SCAN", "state": "PBEsol geometry", "e_form_raw_kj_per_mol_fu": 139, "final_energy_ev_per_atom": -28.671, "m_tot_mub_per_fu": 0.0, "relative_energy_ev_per_atom": 0.121, "lattice": [[1.873, -2.779, 0.000], [1.873, 2.779, 0.000], [0.000, 0.000, 9.044]], "species": ["Be", "Sb", "Sb", "Te"], "fractional_positions": [[0.000, 0.000, 0.000], [0.000, 0.000, 0.518], [0.500, 0.500, 0.793], [0.500, 0.500, 0.171]]}

---

# 5
{"formula": "MnGe2F", "functional": "meta-GGA SCAN", "state": "PBEsol geometry", "e_form_raw_kj_per_mol_fu": -123, "final_energy_ev_per_atom": -15.311, "m_tot_mub_per_fu": 3.6, "lattice": [[0.000, 3.042, 3.042], [3.042, 0.000, 3.042], [3.042, 3.042, 0.000]], "species": ["Mn", "Ge", "Ge", "F"], "fractional_positions": [[0.000, 0.000, 0.000], [0.250, 0.250, 0.250], [0.750, 0.750, 0.750], [0.500, 0.500, 0.500]]}

---

# 6
{"formula": "ZrTe2Br", "functional": "meta-GGA SCAN", "state": "PBEsol geometry", "e_form_raw_kj_per_mol_fu": -244, "final_energy_ev_per_atom": -31.798, "m_tot_mub_per_fu": 0.0, "relative_energy_ev_per_atom": 0.189, "lattice": [[1.785, 1.030, 9.800], [-1.785, 1.030, 9.800], [0.000, -2.061, 9.800]], "species": ["Zr", "Te", "Te", "Br"], "fractional_positions": [[0.000, 0.000, 0.000], [0.267, 0.267, 0.267], [0.507, 0.507, 0.507], [0.729, 0.729, 0.729]]}